Below is HfVB2 after structural relaxation, with properties calculated at the PBE level.

Values from the calculation:
Energy above the lowest structure with this stoichiometry   1162.8 meV per atom
Formation energy from the elements   587.0 meV/atom

```
data_HfVB2
_chemical_formula_sum 'Hf2 V2 B4'
_cell_length_a 4.698
_cell_length_b 4.698
_cell_length_c 6.402
_cell_angle_alpha 68.47
_cell_angle_beta 68.47
_cell_angle_gamma 90.00
_symmetry_space_group_name_H-M 'P 1'
_symmetry_Int_Tables_number 1
loop_
_symmetry_equiv_pos_as_xyz
'x,y,z'
loop_
_atom_site_label
_atom_site_type_symbol
_atom_site_fract_x
_atom_site_fract_y
_atom_site_fract_z
_atom_site_occupancy
B1 B 0.571 0.125 0.250 1
B2 B 0.179 0.625 0.250 1
B3 B 0.375 0.429 0.750 1
B4 B 0.875 0.821 0.750 1
Hf1 Hf 0.000 0.000 0.000 1
Hf2 Hf 0.750 0.250 0.500 1
V1 V 0.500 0.500 0.000 1
V2 V 0.250 0.750 0.500 1
```